No. 1
This record from the Alexandria database describes a relaxed TbPr3S6 crystal. The functional is GGA-PBE.

Cell: 11.8986 11.8986 14.0143 Å, 90.00 90.00 120.00°
Space group R-3 (No. 148, hexagonal axes)
Inequivalent atoms, fractional coordinates:
Tb (0.0000, 0.0000, 0.0000) x3
Tb (0.0000, 0.0000, 0.5000) x3
Pr (0.0480, 0.7781, 0.2028) x18
S (0.0230, 0.8123, 0.4004) x18
S (0.0310, 0.8401, 0.8780) x18

Summary:
- magnetic moment (Bohr magnetons per cell) = 0.00
- calculated density (g cm⁻³) = 4.488


No. 2
This record from the Alexandria database describes a relaxed TbPrTeS crystal. The functional is GGA-PBE.

Cell: 4.0513 4.0513 23.0356 Å, 90.00 90.00 120.00°
Space group R3m (No. 160, hexagonal axes)
Inequivalent atoms, fractional coordinates:
Tb (0.0000, 0.0000, 0.0000) x3
Pr (0.0000, 0.0000, 0.8450) x3
Te (0.0000, 0.0000, 0.4182) x3
S (0.0000, 0.0000, 0.5950) x3

Summary:
- magnetic moment (Bohr magnetons per cell) = 0.00
- calculated density (g cm⁻³) = 6.993


No. 3
This record from the Alexandria database describes a relaxed Tb2PrThS4 crystal. The functional is GGA-PBE.

Cell: 6.895 3.960 7.007 Å, 90.00 109.03 90.00°
Space group P2/m (No. 10)
Inequivalent atoms, fractional coordinates:
Tb (0.000, 0.000, 0.000) x1
Tb (0.500, 0.500, 0.000) x1
Pr (0.000, 0.500, 0.500) x1
Th (0.500, 0.000, 0.500) x1
S (0.247, 0.500, 0.237) x2
S (0.257, 0.000, 0.765) x2

Summary:
- magnetic moment (Bohr magnetons per cell) = 0.00
- calculated density (g cm⁻³) = 7.520


Number 1: DFT total energy -385.3 eV for the cell shown. Number 2: DFT total energy -68.9 eV for the cell shown. Number 3: DFT total energy -53.7 eV for the cell shown.